RbNi3O | PBE+U | optimized geometry

Properties
Energy: -1.14 eV/cell
ΔE to the lowest computed polymorph: 1938 meV per atom
Symmetry: No. 221

Lattice parameters (Å, degrees): 5.6156 5.6156 5.6156 90.00 90.00 90.00
Atoms (fractional coordinates):
Rb: 0.0000 0.0000 0.0000
Ni: 0.0000 0.0000 0.5000
Ni: 0.0000 0.5000 0.0000
Ni: 0.5000 0.0000 0.0000
O: 0.5000 0.5000 0.5000